# MgCd3Au12 | Alexandria | GGA-PBE | relaxed
data_MgCd3Au12
_chemical_formula_sum 'Mg1 Cd3 Au12'
_cell_length_a 4.223
_cell_length_b 4.223
_cell_length_c 16.509
_cell_angle_alpha 90.00
_cell_angle_beta 90.00
_cell_angle_gamma 90.00
_symmetry_space_group_name_H-M 'P 4/m m m'
_symmetry_Int_Tables_number 123
_symmetry_space_group_name_Hall '-P 4 2'
loop_
_atom_site_label
_atom_site_fract_x
_atom_site_fract_y
_atom_site_fract_z
Mg1 0.000 0.000 0.000
Cd1 0.000 0.000 0.248
Cd2 0.000 0.000 0.500
Au1 0.000 0.500 0.120
Au2 0.000 0.500 0.374
Au3 0.500 0.500 0.000
Au4 0.500 0.500 0.247
Au5 0.500 0.500 0.500
# DOS at the Fermi energy = 0.44 states/eV/atom
# Total DFT energy (no corrections) = -46.6 eV/f.u.
# E_form = -0.185 eV per atom

# PrTmMgAg | Alexandria | GGA-PBE | relaxed
data_PrTmMgAg
_chemical_formula_sum 'Pr4 Tm4 Mg4 Ag4'
_cell_length_a 7.519
_cell_length_b 7.519
_cell_length_c 7.519
_cell_angle_alpha 90.00
_cell_angle_beta 90.00
_cell_angle_gamma 90.00
_symmetry_space_group_name_H-M 'F -4 3 m'
_symmetry_Int_Tables_number 216
_symmetry_space_group_name_Hall 'F -4 2 3'
loop_
_atom_site_label
_atom_site_fract_x
_atom_site_fract_y
_atom_site_fract_z
Pr1 0.000 0.000 0.000
Tm1 0.000 0.000 0.500
Mg1 0.250 0.250 0.250
Ag1 0.250 0.250 0.750
# DOS at the Fermi energy = 1.07 states/eV/atom
# Total DFT energy (no corrections) = -14.2 eV/f.u.
# E_form = -0.130 eV per atom

# Er3Al4Cu2 | Alexandria | GGA-PBE | relaxed
data_Er3Al4Cu2
_chemical_formula_sum 'Er6 Al8 Cu4'
_cell_length_a 10.436
_cell_length_b 4.438
_cell_length_c 8.416
_cell_angle_alpha 90.00
_cell_angle_beta 113.54
_cell_angle_gamma 90.00
_symmetry_space_group_name_H-M 'C 1 2/m 1'
_symmetry_Int_Tables_number 12
loop_
_symmetry_equiv_pos_as_xyz
'x,y,z'
'-x,-y,-z'
'-x,y,-z'
'x,-y,z'
'x+1/2,y+1/2,z'
'-x+1/2,-y+1/2,-z'
'-x+1/2,y+1/2,-z'
'x+1/2,-y+1/2,z'
loop_
_atom_site_label
_atom_site_fract_x
_atom_site_fract_y
_atom_site_fract_z
Er1 0.000 0.000 0.000
Er2 0.176 0.500 0.650
Al1 0.029 0.000 0.362
Al2 0.230 0.500 0.074
Cu1 0.093 0.500 0.265
# DOS at the Fermi energy = 0.52 states/eV/atom
# Total DFT energy (no corrections) = -40.8 eV/f.u.
# E_form = -0.442 eV per atom

# LiPaSnS4 | Alexandria | GGA-PBE | relaxed
data_LiPaSnS4
_chemical_formula_sum 'Li4 Pa4 Sn4 S16'
_cell_length_a 7.914
_cell_length_b 8.145
_cell_length_c 11.634
_cell_angle_alpha 90.00
_cell_angle_beta 90.00
_cell_angle_gamma 90.00
_symmetry_space_group_name_H-M 'I m m a'
_symmetry_Int_Tables_number 74
_symmetry_space_group_name_Hall '-I 2b 2'
loop_
_atom_site_label
_atom_site_fract_x
_atom_site_fract_y
_atom_site_fract_z
Li1 0.000 0.250 0.145
Pa1 0.000 0.000 0.500
Sn1 0.250 0.250 0.750
S1 0.000 0.001 0.278
S2 0.226 0.250 0.503
# Formation energy without anion corrections = -1187 meV/atom
# Total DFT energy (no corrections) = -40.2 eV/f.u.

# MgBe2TcGe | Alexandria | GGA-PBE | relaxed
data_MgBe2TcGe
_chemical_formula_sum 'Mg1 Be2 Tc1 Ge1'
_cell_length_a 4.243
_cell_length_b 4.243
_cell_length_c 4.738
_cell_angle_alpha 90.00
_cell_angle_beta 90.00
_cell_angle_gamma 90.00
_symmetry_space_group_name_H-M 'P 4/m m m'
_symmetry_Int_Tables_number 123
_symmetry_space_group_name_Hall '-P 4 2'
loop_
_atom_site_label
_atom_site_fract_x
_atom_site_fract_y
_atom_site_fract_z
Mg1 0.000 0.000 0.000
Be1 0.000 0.500 0.000
Tc1 0.000 0.000 0.500
Ge1 0.500 0.500 0.500
# DOS at the Fermi energy = 0.66 states/eV/atom
# Total DFT energy (no corrections) = -16.3 eV/f.u.
# E_form = 1.545 eV per atom

# MnTc2Ni | Alexandria | GGA-PBE | relaxed
data_MnTc2Ni
_chemical_formula_sum 'Mn2 Tc4 Ni2'
_cell_length_a 3.769
_cell_length_b 3.769
_cell_length_c 7.343
_cell_angle_alpha 90.00
_cell_angle_beta 90.00
_cell_angle_gamma 90.00
_symmetry_space_group_name_H-M 'I -4 m 2'
_symmetry_Int_Tables_number 119
_symmetry_space_group_name_Hall 'I -4 -2'
loop_
_atom_site_label
_atom_site_fract_x
_atom_site_fract_y
_atom_site_fract_z
Mn1 0.000 0.000 0.000
Tc1 0.000 0.000 0.500
Tc2 0.000 0.500 0.750
Ni1 0.000 0.500 0.250
# DOS at the Fermi energy = 1.14 states/eV/atom
# Total DFT energy (no corrections) = -35.6 eV/f.u.
# E_form = 0.022 eV per atom

# Ac2Pm12Dy5 | Alexandria | GGA-PBE | relaxed
data_Ac2Pm12Dy5
_chemical_formula_sum 'Ac4 Pm24 Dy10'
_cell_length_a 11.765
_cell_length_b 7.274
_cell_length_c 16.099
_cell_angle_alpha 90.00
_cell_angle_beta 102.81
_cell_angle_gamma 90.00
_symmetry_space_group_name_H-M 'C 1 2/m 1'
_symmetry_Int_Tables_number 12
loop_
_symmetry_equiv_pos_as_xyz
'x,y,z'
'-x,-y,-z'
'-x,y,-z'
'x,-y,z'
'x+1/2,y+1/2,z'
'-x+1/2,-y+1/2,-z'
'-x+1/2,y+1/2,-z'
'x+1/2,-y+1/2,z'
loop_
_atom_site_label
_atom_site_fract_x
_atom_site_fract_y
_atom_site_fract_z
Ac1 0.000 0.248 0.000
Pm1 0.061 0.500 0.212
Pm2 0.075 0.000 0.219
Pm3 0.141 0.283 0.413
Pm4 0.209 0.252 0.862
Dy1 0.000 0.000 0.500
Dy2 0.135 0.500 0.638
Dy3 0.153 0.000 0.681
# DOS at the Fermi energy = 1.50 states/eV/atom
# Total DFT energy (no corrections) = -84.9 eV/f.u.
# E_form = 0.175 eV per atom

# ScIn2B | Alexandria | GGA-PBE | relaxed
data_ScIn2B
_chemical_formula_sum 'Sc4 In8 B4'
_cell_length_a 7.895
_cell_length_b 7.895
_cell_length_c 5.085
_cell_angle_alpha 90.00
_cell_angle_beta 90.00
_cell_angle_gamma 90.00
_symmetry_space_group_name_H-M 'I -4 2 d'
_symmetry_Int_Tables_number 122
_symmetry_space_group_name_Hall 'I -4 2bw'
loop_
_atom_site_label
_atom_site_fract_x
_atom_site_fract_y
_atom_site_fract_z
Sc1 0.000 0.000 0.000
In1 0.158 0.250 0.625
B1 0.000 0.000 0.500
# DOS at the Fermi energy = 0.13 states/eV/atom
# Total DFT energy (no corrections) = -17.9 eV/f.u.
# E_form = 0.153 eV per atom

# AlInTc2 | Alexandria | GGA-PBE | relaxed
data_AlInTc2
_chemical_formula_sum 'Al2 In2 Tc4'
_cell_length_a 9.757
_cell_length_b 3.030
_cell_length_c 4.615
_cell_angle_alpha 90.00
_cell_angle_beta 108.41
_cell_angle_gamma 90.00
_symmetry_space_group_name_H-M 'C 1 m 1'
_symmetry_Int_Tables_number 8
loop_
_symmetry_equiv_pos_as_xyz
'x,y,z'
'x,-y,z'
'x+1/2,y+1/2,z'
'x+1/2,-y+1/2,z'
loop_
_atom_site_label
_atom_site_fract_x
_atom_site_fract_y
_atom_site_fract_z
Al1 0.000 0.000 0.000
In1 0.275 0.500 0.322
Tc1 0.033 0.500 0.531
Tc2 0.259 0.000 0.812
# DOS at the Fermi energy = 0.78 states/eV/atom
# Total DFT energy (no corrections) = -26.9 eV/f.u.
# E_form = 0.069 eV per atom

# LaMg2Al | Alexandria | GGA-PBE | relaxed
data_LaMg2Al
_chemical_formula_sum 'La2 Mg4 Al2'
_cell_length_a 9.893
_cell_length_b 3.247
_cell_length_c 6.453
_cell_angle_alpha 90.00
_cell_angle_beta 98.97
_cell_angle_gamma 90.00
_symmetry_space_group_name_H-M 'C 1 m 1'
_symmetry_Int_Tables_number 8
loop_
_symmetry_equiv_pos_as_xyz
'x,y,z'
'x,-y,z'
'x+1/2,y+1/2,z'
'x+1/2,-y+1/2,z'
loop_
_atom_site_label
_atom_site_fract_x
_atom_site_fract_y
_atom_site_fract_z
La1 0.000 0.000 0.000
Mg1 0.014 0.500 0.522
Mg2 0.267 0.500 0.319
Al1 0.251 0.000 0.729
# DOS at the Fermi energy = 0.69 states/eV/atom
# Total DFT energy (no corrections) = -12.0 eV/f.u.
# E_form = -0.029 eV per atom

# Tb3Pr5Cd2 | Alexandria | GGA-PBE | relaxed
data_Tb3Pr5Cd2
_chemical_formula_sum 'Tb12 Pr20 Cd8'
_cell_length_a 8.466
_cell_length_b 21.813
_cell_length_c 7.049
_cell_angle_alpha 90.00
_cell_angle_beta 90.00
_cell_angle_gamma 90.00
_symmetry_space_group_name_H-M 'I b a m'
_symmetry_Int_Tables_number 72
_symmetry_space_group_name_Hall '-I 2 2c'
loop_
_atom_site_label
_atom_site_fract_x
_atom_site_fract_y
_atom_site_fract_z
Tb1 0.000 0.000 0.250
Tb2 0.180 0.380 0.000
Pr1 0.000 0.164 0.250
Pr2 0.000 0.500 0.250
Pr3 0.168 0.284 0.500
Cd1 0.247 0.425 0.500
# DOS at the Fermi energy = 1.17 states/eV/atom
# Total DFT energy (no corrections) = -39.5 eV/f.u.
# E_form = 0.008 eV per atom

# DyErInAu | Alexandria | GGA-PBE | relaxed
data_DyErInAu
_chemical_formula_sum 'Dy1 Er1 In1 Au1'
_cell_length_a 3.594
_cell_length_b 3.594
_cell_length_c 7.654
_cell_angle_alpha 90.00
_cell_angle_beta 90.00
_cell_angle_gamma 90.00
_symmetry_space_group_name_H-M 'P 4 m m'
_symmetry_Int_Tables_number 99
loop_
_symmetry_equiv_pos_as_xyz
'x,y,z'
'-y,x,z'
'-x,-y,z'
'y,-x,z'
'-x,y,z'
'y,x,z'
'x,-y,z'
'-y,-x,z'
loop_
_atom_site_label
_atom_site_fract_x
_atom_site_fract_y
_atom_site_fract_z
Dy1 0.000 0.000 0.000
Er1 0.000 0.000 0.538
In1 0.500 0.500 0.270
Au1 0.500 0.500 0.760
# DOS at the Fermi energy = 0.56 states/eV/atom
# Total DFT energy (no corrections) = -17.9 eV/f.u.
# E_form = -0.672 eV per atom

# Cs2SrSi2Se6 | Alexandria | GGA-PBE | relaxed
data_Cs2SrSi2Se6
_chemical_formula_sum 'Cs6 Sr3 Si6 Se18'
_cell_length_a 7.6204
_cell_length_b 7.6204
_cell_length_c 25.8545
_cell_angle_alpha 90.00
_cell_angle_beta 90.00
_cell_angle_gamma 120.00
_symmetry_space_group_name_H-M 'R -3 m'
_symmetry_Int_Tables_number 166
_symmetry_space_group_name_Hall '-R 3 2"'
loop_
_atom_site_label
_atom_site_fract_x
_atom_site_fract_y
_atom_site_fract_z
Cs1 0.0000 0.0000 0.2176
Sr1 0.0000 0.0000 0.0000
Si1 0.0000 0.0000 0.4138
Se1 0.0016 0.5008 0.2476
# Formation energy without anion corrections = -933 meV/atom
# Total DFT energy (no corrections) = -45.4 eV/f.u.

# Rb2ReS4 | Alexandria | GGA-PBE | relaxed
data_Rb2ReS4
_chemical_formula_sum 'Rb4 Re2 S8'
_cell_length_a 4.716
_cell_length_b 4.716
_cell_length_c 16.827
_cell_angle_alpha 90.00
_cell_angle_beta 90.00
_cell_angle_gamma 90.00
_symmetry_space_group_name_H-M 'I 4/m m m'
_symmetry_Int_Tables_number 139
_symmetry_space_group_name_Hall '-I 4 2'
loop_
_atom_site_label
_atom_site_fract_x
_atom_site_fract_y
_atom_site_fract_z
Rb1 0.000 0.000 0.152
Re1 0.000 0.000 0.500
S1 0.000 0.000 0.358
S2 0.000 0.500 0.000
# DOS at the Fermi energy = 0.51 states/eV/atom
# Formation energy without anion corrections = -468 meV/atom
# Total DFT energy (no corrections) = -34.2 eV/f.u.

# CsKTa3 | Alexandria | GGA-PBE | relaxed
data_CsKTa3
_chemical_formula_sum 'Cs1 K1 Ta3'
_cell_length_a 5.213
_cell_length_b 5.213
_cell_length_c 5.213
_cell_angle_alpha 90.00
_cell_angle_beta 90.00
_cell_angle_gamma 90.00
_symmetry_space_group_name_H-M 'P m -3 m'
_symmetry_Int_Tables_number 221
_symmetry_space_group_name_Hall '-P 4 2 3'
loop_
_atom_site_label
_atom_site_fract_x
_atom_site_fract_y
_atom_site_fract_z
Cs1 0.000 0.000 0.000
K1 0.500 0.500 0.500
Ta1 0.000 0.000 0.500
# DOS at the Fermi energy = 1.12 states/eV/atom
# Total DFT energy (no corrections) = -21.8 eV/f.u.
# E_form = 3.143 eV per atom

# LaAl2Pb | Alexandria | GGA-PBE | relaxed
data_LaAl2Pb
_chemical_formula_sum 'La3 Al6 Pb3'
_cell_length_a 3.5267
_cell_length_b 3.5267
_cell_length_c 29.7552
_cell_angle_alpha 90.00
_cell_angle_beta 90.00
_cell_angle_gamma 120.00
_symmetry_space_group_name_H-M 'R -3 m'
_symmetry_Int_Tables_number 166
_symmetry_space_group_name_Hall '-R 3 2"'
loop_
_atom_site_label
_atom_site_fract_x
_atom_site_fract_y
_atom_site_fract_z
La1 0.0000 0.0000 0.0000
Al1 0.0000 0.0000 0.2443
Pb1 0.0000 0.0000 0.5000
# DOS at the Fermi energy = 1.01 states/eV/atom
# Total DFT energy (no corrections) = -15.6 eV/f.u.
# E_form = 0.126 eV per atom

# Tm2Zn3Cu2 | Alexandria | GGA-PBE | relaxed
data_Tm2Zn3Cu2
_chemical_formula_sum 'Tm4 Zn6 Cu4'
_cell_length_a 9.557
_cell_length_b 4.233
_cell_length_c 6.620
_cell_angle_alpha 90.00
_cell_angle_beta 112.49
_cell_angle_gamma 90.00
_symmetry_space_group_name_H-M 'C 1 2/m 1'
_symmetry_Int_Tables_number 12
loop_
_symmetry_equiv_pos_as_xyz
'x,y,z'
'-x,-y,-z'
'-x,y,-z'
'x,-y,z'
'x+1/2,y+1/2,z'
'-x+1/2,-y+1/2,-z'
'-x+1/2,y+1/2,-z'
'x+1/2,-y+1/2,z'
loop_
_atom_site_label
_atom_site_fract_x
_atom_site_fract_y
_atom_site_fract_z
Tm1 0.146 0.000 0.273
Zn1 0.000 0.500 0.500
Zn2 0.118 0.500 0.933
Cu1 0.143 0.000 0.712
# DOS at the Fermi energy = 0.64 states/eV/atom
# Total DFT energy (no corrections) = -23.2 eV/f.u.
# E_form = -0.320 eV per atom

# NdDyTm2Te6 | Alexandria | GGA-PBE | relaxed
data_NdDyTm2Te6
_chemical_formula_sum 'Nd3 Dy3 Tm6 Te18'
_cell_length_a 7.7240
_cell_length_b 7.7240
_cell_length_c 21.0159
_cell_angle_alpha 90.00
_cell_angle_beta 90.00
_cell_angle_gamma 120.00
_symmetry_space_group_name_H-M 'R 3'
_symmetry_Int_Tables_number 146
_symmetry_space_group_name_Hall 'R 3'
loop_
_atom_site_label
_atom_site_fract_x
_atom_site_fract_y
_atom_site_fract_z
Nd1 0.0000 0.0000 0.0000
Dy1 0.0000 0.0000 0.4971
Tm1 0.0000 0.0000 0.3101
Tm2 0.0000 0.0000 0.8120
Te1 0.0094 0.3207 0.9008
Te2 0.0152 0.6463 0.0688
# Formation energy without anion corrections = -1348 meV/atom
# Total DFT energy (no corrections) = -50.6 eV/f.u.

# Tb12In3Ru5 | Alexandria | GGA-PBE | relaxed
data_Tb12In3Ru5
_chemical_formula_sum 'Tb96 In24 Ru40'
_cell_length_a 16.944
_cell_length_b 16.944
_cell_length_c 16.944
_cell_angle_alpha 90.00
_cell_angle_beta 90.00
_cell_angle_gamma 90.00
_symmetry_space_group_name_H-M 'I a -3 d'
_symmetry_Int_Tables_number 230
_symmetry_space_group_name_Hall '-I 4bd 2c 3'
loop_
_atom_site_label
_atom_site_fract_x
_atom_site_fract_y
_atom_site_fract_z
Tb1 0.028 0.058 0.648
In1 0.000 0.250 0.125
Ru1 0.000 0.000 0.000
Ru2 0.000 0.250 0.375
# DOS at the Fermi energy = 0.67 states/eV/atom
# Total DFT energy (no corrections) = -109.4 eV/f.u.
# E_form = 0.040 eV per atom

# AcIn5Hg4 | Alexandria | GGA-PBE | relaxed
data_AcIn5Hg4
_chemical_formula_sum 'Ac1 In5 Hg4'
_cell_length_a 4.959
_cell_length_b 7.430
_cell_length_c 8.858
_cell_angle_alpha 111.76
_cell_angle_beta 105.65
_cell_angle_gamma 90.33
_symmetry_space_group_name_H-M 'P -1'
_symmetry_Int_Tables_number 2
loop_
_symmetry_equiv_pos_as_xyz
'x,y,z'
'-x,-y,-z'
loop_
_atom_site_label
_atom_site_fract_x
_atom_site_fract_y
_atom_site_fract_z
Ac1 0.000 0.000 0.000
In1 0.000 0.500 0.000
In2 0.176 0.458 0.351
In3 0.188 0.911 0.375
Hg1 0.348 0.797 0.691
Hg2 0.452 0.252 0.902
# DOS at the Fermi energy = 0.49 states/eV/atom
# Total DFT energy (no corrections) = -20.3 eV/f.u.
# E_form = -0.133 eV per atom

Record-wise V values, in Å³/cell: 294; 425; 357; 750; 85; 104; 1343; 317; 129; 205; 1302; 99; 1300; 374; 142; 321; 247; 1086; 4865; 290